No. 1
VASP calculation (GGA-PBE) on BeSiHg3 after structural relaxation. Values from VASP.

Cell and atoms, written as Quantum ESPRESSO input:
```
&SYSTEM
  ibrav = 0, nat = 5, ntyp = 3
/
ATOMIC_SPECIES
Be 9.01 Be.upf
Si 28.09 Si.upf
Hg 200.59 Hg.upf
ATOMIC_POSITIONS crystal
Be 0.0000 0.0000 0.0000
Si 0.5000 0.5000 0.5000
Hg 0.0000 0.0000 0.5000
Hg 0.0000 0.5000 0.0000
Hg 0.5000 0.0000 0.0000
CELL_PARAMETERS angstrom
4.7829 0.0000 0.0000
0.0000 4.7829 0.0000
0.0000 0.0000 4.7829
```

Values from the calculation:
Polymorph energy (0 for the lowest one) in meV per atom: 0
Final energy in eV/f.u.: -6.99
Uncorrected formation energy in kJ/mol of atoms: 59.1

***

No. 2
VASP calculation (GGA-PBE) on BeSiHg2 after structural relaxation. Values from VASP.

Cell and atoms, written as Quantum ESPRESSO input:
```
&SYSTEM
  ibrav = 0, nat = 4, ntyp = 3
/
ATOMIC_SPECIES
Be 9.01 Be.upf
Si 28.09 Si.upf
Hg 200.59 Hg.upf
ATOMIC_POSITIONS crystal
Be 0.0000 0.0000 0.0000
Si 0.5000 0.5000 0.0000
Hg 0.2500 0.7500 0.5000
Hg 0.7500 0.2500 0.5000
CELL_PARAMETERS angstrom
-2.1237 2.1237 4.1152
2.1237 -2.1237 4.1152
2.1237 2.1237 -4.1152
```

Values from the calculation:
Polymorph energy (0 for the lowest one) in meV per atom: 349
Final energy in eV/f.u.: -6.96
Uncorrected formation energy in kJ/mol of atoms: 67.3

***

No. 3
VASP calculation (GGA-PBE) on Be2SiHg2 after structural relaxation. Values from VASP.

Cell and atoms, written as Quantum ESPRESSO input:
```
&SYSTEM
  ibrav = 0, nat = 10, ntyp = 3
/
ATOMIC_SPECIES
Be 9.01 Be.upf
Si 28.09 Si.upf
Hg 200.59 Hg.upf
ATOMIC_POSITIONS crystal
Be 0.1061 0.3939 0.0000
Be 0.3939 0.8939 0.0000
Be 0.6061 0.1061 0.0000
Be 0.8939 0.6061 0.0000
Si 0.0000 0.0000 0.5000
Si 0.5000 0.5000 0.5000
Hg 0.1895 0.6895 0.5000
Hg 0.3105 0.1895 0.5000
Hg 0.6895 0.8105 0.5000
Hg 0.8105 0.3105 0.5000
CELL_PARAMETERS angstrom
7.6764 0.0000 0.0000
0.0000 7.6764 0.0000
0.0000 0.0000 2.7808
```

Values from the calculation:
Polymorph energy (0 for the lowest one) in meV per atom: 31
Final energy in eV/f.u.: -10.32
Uncorrected formation energy in kJ/mol of atoms: 60.9